Record 1
# PBE CePm2Er3Te6, relaxed
data_CePm2Er3Te6
_chemical_formula_sum 'Ce2 Pm4 Er6 Te12'
_cell_length_a 19.303
_cell_length_b 4.344
_cell_length_c 8.910
_cell_angle_alpha 90.00
_cell_angle_beta 105.00
_cell_angle_gamma 90.00
_symmetry_space_group_name_H-M 'C 1 2/m 1'
_symmetry_Int_Tables_number 12
loop_
_symmetry_equiv_pos_as_xyz
'x,y,z'
'-x,-y,-z'
'-x,y,-z'
'x,-y,z'
'x+1/2,y+1/2,z'
'-x+1/2,-y+1/2,-z'
'-x+1/2,y+1/2,-z'
'x+1/2,-y+1/2,z'
loop_
_atom_site_label
_atom_site_fract_x
_atom_site_fract_y
_atom_site_fract_z
Ce1 0.000 0.000 0.000
Pm1 0.166 0.500 0.332
Er1 0.000 0.000 0.500
Er2 0.167 0.500 0.835
Te1 0.003 0.500 0.742
Te2 0.164 0.000 0.591
Te3 0.170 0.000 0.077
# Volume ... 721.7 Å³ per cell
# DOS(E_F) ... 23.87 states/eV/cell
# Raw total energy ... -5.31 eV/atom

=====

Record 2
# PBE B2HRh, relaxed
data_B2HRh
_chemical_formula_sum 'B8 H4 Rh4'
_cell_length_a 3.563
_cell_length_b 3.563
_cell_length_c 9.681
_cell_angle_alpha 90.00
_cell_angle_beta 90.00
_cell_angle_gamma 90.00
_symmetry_space_group_name_H-M 'I 41/a m d'
_symmetry_Int_Tables_number 141
loop_
_symmetry_equiv_pos_as_xyz
'x,y,z'
'-x,-y,-z'
'-y+1/4,x+3/4,z+1/4'
'y+1/4,-x+3/4,-z+1/4'
'-x+1/2,-y,z+1/2'
'x+1/2,y,-z+1/2'
'y+1/4,-x+1/4,z+3/4'
'-y+1/4,x+1/4,-z+3/4'
'x,-y,-z'
'-x,y,z'
'-y+1/4,-x+1/4,-z+3/4'
'y+1/4,x+1/4,z+3/4'
'-x+1/2,y,-z+1/2'
'x+1/2,-y,z+1/2'
'y+1/4,x+3/4,-z+1/4'
'-y+1/4,-x+3/4,z+1/4'
'x+1/2,y+1/2,z+1/2'
'-x+1/2,-y+1/2,-z+1/2'
'-y+3/4,x+1/4,z+3/4'
'y+3/4,-x+1/4,-z+3/4'
'-x,-y+1/2,z'
'x,y+1/2,-z'
'y+3/4,-x+3/4,z+1/4'
'-y+3/4,x+3/4,-z+1/4'
'x+1/2,-y+1/2,-z+1/2'
'-x+1/2,y+1/2,z+1/2'
'-y+3/4,-x+3/4,-z+1/4'
'y+3/4,x+3/4,z+1/4'
'-x,y+1/2,-z'
'x,-y+1/2,z'
'y+3/4,x+1/4,-z+3/4'
'-y+3/4,-x+1/4,z+3/4'
loop_
_atom_site_label
_atom_site_fract_x
_atom_site_fract_y
_atom_site_fract_z
B1 0.000 0.000 0.000
H1 0.000 0.250 0.875
Rh1 0.000 0.250 0.375
# Volume ... 122.9 Å³ per cell
# Distance to the lowest polymorph of the same formula ... 0 meV/atom
# DOS(E_F) ... 1.84 states/eV/cell

=====

Record 3
# PBE ScTl2In2Cl6, relaxed
data_ScTl2In2Cl6
_chemical_formula_sum 'Sc2 Tl4 In4 Cl12'
_cell_length_a 7.161
_cell_length_b 15.218
_cell_length_c 6.958
_cell_angle_alpha 90.00
_cell_angle_beta 118.20
_cell_angle_gamma 90.00
_symmetry_space_group_name_H-M 'C 1 2/m 1'
_symmetry_Int_Tables_number 12
loop_
_symmetry_equiv_pos_as_xyz
'x,y,z'
'-x,-y,-z'
'-x,y,-z'
'x,-y,z'
'x+1/2,y+1/2,z'
'-x+1/2,-y+1/2,-z'
'-x+1/2,y+1/2,-z'
'x+1/2,-y+1/2,z'
loop_
_atom_site_label
_atom_site_fract_x
_atom_site_fract_y
_atom_site_fract_z
Sc1 0.000 0.000 0.000
Tl1 0.000 0.324 0.000
In1 0.000 0.165 0.500
Cl1 0.204 0.000 0.784
Cl2 0.237 0.118 0.244
# Volume ... 668.3 Å³ per cell
# DOS(E_F) ... 4.01 states/eV/cell
# Raw total energy ... -3.71 eV/atom